Compound: TaCu2Ir
Source: the Alexandria database
Functional: meta-GGA SCAN
Structure: single point on PBEsol structure

Values from the calculation:
energy above the lowest structure with this stoichiometry = 190.7 meV per atom
VASP energy = -41.939 eV/atom
formation enthalpy at 0 K = 0.081 eV/atom

Cell lengths 3.2286, 3.2286, 5.2534 Å; angles 90.00, 90.00, 90.00 degrees
Each line ends with the local moment (μB).
Positions (direct):
Ir1 0.5000 0.5000 0.0000  0.38
Ta1 0.5000 0.5000 0.5000  0.07
Cu1 0.0000 0.0000 0.2437  0.01
Cu2 0.0000 0.0000 0.7563  0.01

---

Compound: Na2TeSe3
Source: the Alexandria database
Functional: meta-GGA SCAN
Structure: single point on PBEsol structure

Values from the calculation:
VASP energy = -18.406 eV/atom
E_form (uncorrected) = -753 meV/atom

Cell lengths 5.9141, 8.6117, 12.5566 Å; angles 90.00, 90.00, 94.27 degrees
Positions (direct):
Te1 0.2967 0.8172 0.0872
Na1 0.2485 0.8619 0.4157
Te2 0.7033 0.1828 0.9128
Na2 0.7515 0.1381 0.5843
Se1 0.2485 0.1354 0.5691
Na3 0.7408 0.1363 0.2431
Se2 0.7610 0.8778 0.7403
Na4 0.7515 0.6381 0.9157
Na5 0.2592 0.3637 0.7431
Te3 0.2967 0.3172 0.4128
Na6 0.2485 0.3619 0.0843
Se3 0.7248 0.8798 0.0873
Se4 0.2752 0.6202 0.5873
Na7 0.2592 0.8637 0.7569
Te4 0.7033 0.6828 0.5872
Se5 0.2485 0.6354 0.9309
Na8 0.7408 0.6363 0.2569
Se6 0.7610 0.3778 0.7597
Se7 0.7248 0.3798 0.4127
Se8 0.7515 0.3646 0.0691
Se9 0.2390 0.6222 0.2403
Se10 0.7515 0.8646 0.4309
Se11 0.2390 0.1222 0.2597
Se12 0.2752 0.1202 0.9127

---

Compound: Ba3ZnIrRuO9
Source: the Alexandria database
Functional: meta-GGA SCAN
Structure: single point on PBEsol structure

Values from the calculation:
VASP energy = -21.620 eV/atom
E_form (uncorrected) = -2008 meV/atom

Cell lengths 5.7483, 5.7483, 14.1173 Å; angles 90.00, 90.00, 120.00 degrees
Each line ends with the local moment (μB).
Positions (direct):
Ru1 0.3333 0.6667 0.3418  1.64
O1 0.6541 0.8270 0.4161  0.19
O2 0.5099 0.0199 0.7482  0.01
O3 0.1717 0.8283 0.0840  -0.17
Ba1 0.3333 0.6667 0.9155  0.00
O4 0.9801 0.4901 0.7482  0.01
Ru2 0.6667 0.3333 0.6582  1.64
O5 0.3435 0.1717 0.9160  -0.17
O6 0.1717 0.3435 0.0840  -0.17
O7 0.8270 0.1730 0.5839  0.19
Ba2 0.6667 0.3333 0.0845  0.00
O8 0.3459 0.1730 0.5839  0.19
O9 0.6565 0.8283 0.0840  -0.17
O10 0.4901 0.5099 0.2518  0.01
O11 0.1730 0.8270 0.4161  0.19
Ir1 0.6667 0.3333 0.8384  -0.81
O12 0.4901 0.9801 0.2518  0.01
O13 0.1730 0.3459 0.4161  0.19
O14 0.8283 0.1717 0.9160  -0.17
Ba3 0.0000 0.0000 0.7511  0.00
Ir2 0.3333 0.6667 0.1616  -0.81
Ba4 0.0000 0.0000 0.2489  0.00
O15 0.0199 0.5099 0.2518  0.01
Ba5 0.3333 0.6667 0.5862  0.01
Zn1 0.0000 0.0000 0.5000  0.00
Ba6 0.6667 0.3333 0.4138  0.01
Zn2 0.0000 0.0000 0.0000  0.01
O16 0.5099 0.4901 0.7482  0.01
O17 0.8283 0.6565 0.9160  -0.17
O18 0.8270 0.6541 0.5839  0.19

---

Compound: CdH2Rh
Source: the Alexandria database
Functional: meta-GGA SCAN
Structure: single point on PBEsol structure

Values from the calculation:
VASP energy = -17.797 eV/atom

Cell lengths 4.1177, 4.1177, 5.6027 Å; angles 111.56, 111.56, 90.00 degrees
Positions (direct):
H1 0.6250 0.5211 0.7500
Rh1 0.5000 0.5000 0.0000
H2 0.7711 0.3750 0.2500
Cd1 0.2500 0.7500 0.5000
Cd2 0.0000 0.0000 0.0000
Rh2 0.7500 0.2500 0.5000
H3 0.4789 0.8750 0.2500
H4 0.1250 0.2289 0.7500

---

Compound: Cs2KHg2
Source: the Alexandria database
Functional: meta-GGA SCAN
Structure: single point on PBEsol structure

Values from the calculation:
energy above the lowest structure with this stoichiometry = 0.0 meV per atom
VASP energy = -44.220 eV/atom
formation enthalpy at 0 K = -0.164 eV/atom

Cell lengths 5.7878, 5.7878, 8.4399 Å; angles 110.05, 110.05, 90.00 degrees
Positions (direct):
Cs1 0.7500 0.2500 0.5000
K1 0.0000 0.0000 0.0000
Hg1 0.4044 0.4044 0.8087
Hg2 0.5956 0.5956 0.1913
Cs2 0.2500 0.7500 0.5000

---

Compound: SiAgAs2
Source: the Alexandria database
Functional: meta-GGA SCAN
Structure: single point on PBEsol structure

Values from the calculation:
VASP energy = -19.871 eV/atom
E_form (uncorrected) = 570 meV/atom

Cell lengths 4.6311, 4.6311, 4.6311 Å; angles 60.00, 60.00, 60.00 degrees
Positions (direct):
Si1 0.2500 0.2500 0.2500
As1 0.7500 0.7500 0.7500
Ag1 0.5000 0.5000 0.5000
As2 0.0000 0.0000 0.0000